Run 1
Density functional theory data (GGA-PBE) for Pm3Pr2Pt4 after structural relaxation.

DOS(E_F) = 0.745 states/eV per atom
SG = Cmce

Unit cell a=7.6746 b=7.9642 c=8.7649 alpha=90.00 beta=115.96 gamma=90.00
Fractional positions:
Pt: 0.7246 0.7500 0.9492
Pt: 0.2246 0.7500 0.9492
Pt: 0.3009 0.4507 0.6018
Pt: 0.1991 0.9507 0.3982
Pt: 0.7754 0.2500 0.0508
Pt: 0.6991 0.5493 0.3982
Pt: 0.8009 0.0493 0.6018
Pt: 0.2754 0.2500 0.0508
Pm: 0.5000 0.5000 0.0000
Pm: 0.4569 0.2500 0.4138
Pm: 0.0431 0.7500 0.5862
Pm: 0.9569 0.2500 0.4138
Pm: 0.5431 0.7500 0.5862
Pm: 0.0000 0.0000 0.0000
Pr: 0.6018 0.9006 0.2036
Pr: 0.1018 0.5994 0.2036
Pr: 0.3982 0.0994 0.7964
Pr: 0.8982 0.4006 0.7964



Run 2
Density functional theory data (GGA-PBE) for Pm3Pr2Pt4 after structural relaxation.

DOS(E_F) = 0.665 states/eV per atom
SG = P2_1/c

Unit cell a=8.0927 b=7.7409 c=7.7753 alpha=90.00 beta=90.00 gamma=108.47
Fractional positions:
Pr: 0.4071 0.7984 0.6784
Pr: 0.9071 0.7984 0.8216
Pr: 0.0929 0.2016 0.1784
Pr: 0.5929 0.2016 0.3216
Pt: 0.6293 0.9061 0.0322
Pt: 0.1293 0.9061 0.4678
Pt: 0.3746 0.4964 0.3688
Pt: 0.8746 0.4964 0.1312
Pt: 0.3707 0.0939 0.9678
Pt: 0.8707 0.0939 0.5322
Pt: 0.1254 0.5036 0.8688
Pt: 0.6254 0.5036 0.6312
Pm: 0.5000 0.5000 0.0000
Pm: 0.0000 0.5000 0.5000
Pm: 0.2508 0.2418 0.6658
Pm: 0.7492 0.7582 0.3342
Pm: 0.7508 0.2418 0.8342
Pm: 0.2492 0.7582 0.1658



Most favorable structure: run 2. The second most favorable one is 131 meV per atom above it.